Record 1
This record from Alexandria via LeMat-Bulk describes a relaxed structure of Na3Sb4Au. The functional is PBE.

Cell lengths 8.421, 8.421, 8.421 Å; angles 157.10, 109.48, 75.24 degrees
Atoms (fractional coordinates):
Na1 0.000 0.000 0.000
Na2 0.282 0.782 0.500
Na3 0.718 0.218 0.500
Sb1 0.140 0.388 0.752
Sb2 0.364 0.612 0.752
Sb3 0.636 0.388 0.248
Sb4 0.860 0.612 0.248
Au1 0.500 0.500 0.000

Results
* formation energy (no corrections): -0.24 eV per atom
* DOS(E_F): 1.657 states/eV per cell

---

Record 2
This record from Alexandria via LeMat-Bulk describes a relaxed structure of NaSb3Au. The functional is PBE.

Cell lengths 6.324, 6.324, 7.506 Å; angles 90.00, 90.00, 103.93 degrees
Atoms (fractional coordinates):
Na1 0.250 0.750 0.750
Na2 0.750 0.250 0.250
Sb1 0.122 0.878 0.250
Sb2 0.266 0.266 0.000
Sb3 0.266 0.266 0.500
Sb4 0.734 0.734 0.000
Sb5 0.734 0.734 0.500
Sb6 0.878 0.122 0.750
Au1 0.402 0.598 0.250
Au2 0.598 0.402 0.750

Results
* formation energy (no corrections): -0.12 eV per atom
* DOS(E_F): 3.134 states/eV per cell
* excess energy over the best structure of this formula in the dataset: 0.0 kJ/mol of atoms

---

Record 3
This record from Alexandria via LeMat-Bulk describes a relaxed structure of Na3SbAu. The functional is PBE.

Cell lengths 5.463, 5.463, 5.463 Å; angles 90.00, 90.00, 90.00 degrees
Atoms (fractional coordinates):
Na1 0.000 0.000 0.500
Na2 0.000 0.500 0.000
Na3 0.500 0.000 0.000
Sb1 0.500 0.500 0.500
Au1 0.000 0.000 0.000

Results
* formation energy (no corrections): -0.04 eV per atom
* DOS(E_F): 1.937 states/eV per cell
* excess energy over the best structure of this formula in the dataset: 30.5 kJ/mol of atoms

---

Record 4
This record from Alexandria via LeMat-Bulk describes a relaxed structure of NaSb2Au2. The functional is PBE.

Cell lengths 5.238, 5.238, 5.430 Å; angles 110.50, 110.50, 88.75 degrees
Atoms (fractional coordinates):
Na1 0.000 0.000 0.000
Sb1 0.256 0.744 0.500
Sb2 0.744 0.256 0.500
Au1 0.321 0.321 0.717
Au2 0.679 0.679 0.283

Results
* formation energy (no corrections): -0.13 eV per atom
* DOS(E_F): 2.541 states/eV per cell
* excess energy over the best structure of this formula in the dataset: 3.3 kJ/mol of atoms

---

Record 5
This record from Alexandria via LeMat-Bulk describes a relaxed structure of Na2SbAu. The functional is PBE.

Cell lengths 4.360, 4.360, 4.810 Å; angles 90.00, 90.00, 90.00 degrees
Atoms (fractional coordinates):
Na1 0.000 0.500 0.000
Na2 0.500 0.000 0.000
Sb1 0.000 0.000 0.500
Au1 0.500 0.500 0.500

Results
* formation energy (no corrections): -0.29 eV per atom
* DOS(E_F): 1.746 states/eV per cell

---

Record 6
This record from Alexandria via LeMat-Bulk describes a relaxed structure of NaSb2Au3. The functional is PBE.

Cell lengths 9.195, 9.195, 7.098 Å; angles 108.24, 108.24, 28.97 degrees
Atoms (fractional coordinates):
Na1 0.123 0.123 0.148
Na2 0.877 0.877 0.852
Sb1 0.233 0.233 0.678
Sb2 0.486 0.486 0.204
Sb3 0.514 0.514 0.796
Sb4 0.767 0.767 0.322
Au1 0.071 0.071 0.676
Au2 0.304 0.304 0.086
Au3 0.366 0.366 0.517
Au4 0.634 0.634 0.483
Au5 0.696 0.696 0.914
Au6 0.929 0.929 0.324

Results
* formation energy (no corrections): -0.19 eV per atom
* DOS(E_F): 3.874 states/eV per cell
* excess energy over the best structure of this formula in the dataset: 0.0 kJ/mol of atoms

---

Record 7
This record from Alexandria via LeMat-Bulk describes a relaxed structure of Na8Sb2Au. The functional is PBE.

Cell lengths 5.231, 7.588, 9.247 Å; angles 65.85, 73.63, 89.93 degrees
Atoms (fractional coordinates):
Na1 0.000 0.000 0.000
Na2 0.043 0.504 0.913
Na3 0.208 0.320 0.588
Na4 0.371 0.832 0.260
Na5 0.414 0.410 0.174
Na6 0.602 0.906 0.797
Na7 0.708 0.636 0.586
Na8 0.809 0.117 0.384
Sb1 0.547 0.248 0.904
Sb2 0.868 0.568 0.266
Au1 0.207 0.903 0.588

Results
* formation energy (no corrections): -0.33 eV per atom
* DOS(E_F): 2.604 states/eV per cell
* excess energy over the best structure of this formula in the dataset: 1.2 kJ/mol of atoms

---

Record 8
This record from Alexandria via LeMat-Bulk describes a relaxed structure of NaSb5Au6. The functional is PBE.

Cell lengths 7.513, 7.513, 6.917 Å; angles 101.18, 101.18, 126.44 degrees
Atoms (fractional coordinates):
Na1 0.000 0.000 0.000
Sb1 0.134 0.866 0.500
Sb2 0.311 0.689 0.000
Sb3 0.500 0.500 0.500
Sb4 0.689 0.311 0.000
Sb5 0.866 0.134 0.500
Au1 0.107 0.451 0.285
Au2 0.307 0.307 0.796
Au3 0.451 0.107 0.285
Au4 0.549 0.893 0.715
Au5 0.693 0.693 0.204
Au6 0.893 0.549 0.715

Results
* formation energy (no corrections): -0.10 eV per atom
* DOS(E_F): 3.890 states/eV per cell

---

Record 9
This record from Alexandria via LeMat-Bulk describes a relaxed structure of NaSb3Au. The functional is PBE.

Cell lengths 5.498, 5.498, 5.498 Å; angles 90.00, 90.00, 90.00 degrees
Atoms (fractional coordinates):
Na1 0.000 0.000 0.000
Sb1 0.000 0.500 0.500
Sb2 0.500 0.000 0.500
Sb3 0.500 0.500 0.000
Au1 0.500 0.500 0.500

Results
* formation energy (no corrections): 0.30 eV per atom
* DOS(E_F): 3.774 states/eV per cell
* excess energy over the best structure of this formula in the dataset: 40.6 kJ/mol of atoms

---

Record 10
This record from Alexandria via LeMat-Bulk describes a relaxed structure of NaSb6Au8. The functional is PBE.

Cell lengths 7.264, 7.264, 7.264 Å; angles 90.83, 90.83, 90.83 degrees
Atoms (fractional coordinates):
Na1 0.000 0.000 0.000
Sb1 0.084 0.296 0.581
Sb2 0.296 0.581 0.084
Sb3 0.419 0.916 0.704
Sb4 0.581 0.084 0.296
Sb5 0.704 0.419 0.916
Sb6 0.916 0.704 0.419
Au1 0.136 0.643 0.751
Au2 0.245 0.245 0.245
Au3 0.249 0.864 0.357
Au4 0.357 0.249 0.864
Au5 0.643 0.751 0.136
Au6 0.751 0.136 0.643
Au7 0.755 0.755 0.755
Au8 0.864 0.357 0.249

Results
* formation energy (no corrections): -0.06 eV per atom
* DOS(E_F): 5.870 states/eV per cell